(1)
! HfSiSb3 (PBE, relaxed); values from VASP
! - Uncorrected formation energy: 731 meV per atom
! - E_tot: -0.1771 Ha/atom
! - SG: Pm-3m, No. 221
! - Excess energy over the best structure of this formula in the dataset: 23 meV/atom
&SYSTEM
  ibrav = 0, nat = 5, ntyp = 3
/
ATOMIC_SPECIES
Hf 178.49 Hf.upf
Si 28.09 Si.upf
Sb 121.76 Sb.upf
ATOMIC_POSITIONS crystal
Hf 0.000 0.000 0.000
Si 0.500 0.500 0.500
Sb 0.000 0.500 0.500
Sb 0.500 0.000 0.500
Sb 0.500 0.500 0.000
CELL_PARAMETERS angstrom
5.120 0.000 0.000
0.000 5.120 0.000
0.000 0.000 5.120

***

(2)
! Hf3SiSb (PBE, relaxed); values from VASP
! - Uncorrected formation energy: 174 meV per atom
! - E_tot: -0.2832 Ha/atom
! - SG: Pm-3m, No. 221
! - Excess energy over the best structure of this formula in the dataset: 716 meV/atom
&SYSTEM
  ibrav = 0, nat = 5, ntyp = 3
/
ATOMIC_SPECIES
Hf 178.49 Hf.upf
Si 28.09 Si.upf
Sb 121.76 Sb.upf
ATOMIC_POSITIONS crystal
Hf 0.000 0.000 0.500
Hf 0.000 0.500 0.000
Hf 0.500 0.000 0.000
Si 0.000 0.000 0.000
Sb 0.500 0.500 0.500
CELL_PARAMETERS angstrom
4.892 0.000 0.000
0.000 4.892 0.000
0.000 0.000 4.892

***

(3)
! Hf2SiSb (PBE, relaxed); values from VASP
! - Uncorrected formation energy: -519 meV per atom
! - E_tot: -0.2896 Ha/atom
! - SG: R-3m, No. 166
! - Excess energy over the best structure of this formula in the dataset: 0 meV/atom
&SYSTEM
  ibrav = 0, nat = 4, ntyp = 3
/
ATOMIC_SPECIES
Hf 178.49 Hf.upf
Si 28.09 Si.upf
Sb 121.76 Sb.upf
ATOMIC_POSITIONS crystal
Hf 0.238 0.238 0.238
Hf 0.762 0.762 0.762
Si 0.500 0.500 0.500
Sb 0.000 0.000 0.000
CELL_PARAMETERS angstrom
1.943 1.122 6.659
-1.943 1.122 6.659
0.000 -2.244 6.659

***

(4)
! Hf5SiSb2 (PBE, relaxed); values from VASP
! - Uncorrected formation energy: 9 meV per atom
! - E_tot: -0.2911 Ha/atom
! - SG: Cmcm, No. 63
&SYSTEM
  ibrav = 0, nat = 16, ntyp = 3
/
ATOMIC_SPECIES
Hf 178.49 Hf.upf
Si 28.09 Si.upf
Sb 121.76 Sb.upf
ATOMIC_POSITIONS crystal
Hf 0.100 0.900 0.625
Hf 0.100 0.900 0.875
Hf 0.303 0.697 0.250
Hf 0.310 0.690 0.530
Hf 0.310 0.690 0.970
Hf 0.690 0.310 0.030
Hf 0.690 0.310 0.470
Hf 0.697 0.303 0.750
Hf 0.900 0.100 0.125
Hf 0.900 0.100 0.375
Si 0.265 0.735 0.750
Si 0.735 0.265 0.250
Sb 0.114 0.886 0.117
Sb 0.114 0.886 0.383
Sb 0.886 0.114 0.617
Sb 0.886 0.114 0.883
CELL_PARAMETERS angstrom
2.531 -6.752 0.000
2.531 6.752 0.000
0.000 0.000 12.000

***

One value per record, in order, for mass density: 7.08; 9.72; 9.66; 9.43 g cm⁻³.